1.
Material: Sn2H6IrRh
Method: DFT, GGA-PBE
State: optimized geometry

abc: 8.368 4.877 5.394
angles: 90.00 98.81 90.00
Space group Cm (No. 8)
Asymmetric unit:
Sn 0.000 0.000 0.000 [2 per cell]
Sn 0.068 0.500 0.532 [2 per cell]
H 0.025 0.500 0.054 [2 per cell]
H 0.091 0.000 0.511 [2 per cell]
H 0.261 0.251 0.312 [4 per cell]
H 0.287 0.203 0.879 [4 per cell]
Ir 0.335 0.000 0.115 [2 per cell]
Rh 0.396 0.500 0.479 [2 per cell]

Computed properties:
E (eV/atom): -4.46
Size of the total moment (Bohr magnetons per cell): 0.00
Crystal system: monoclinic


2.
Material: SnHIrRh2
Method: DFT, GGA-PBE
State: optimized geometry

abc: 4.015 4.015 4.015
angles: 90.00 90.00 90.00
Space group P4/mmm (No. 123)
Asymmetric unit:
Sn 0.000 0.000 0.000 [1 per cell]
H 0.500 0.500 0.500 [1 per cell]
Ir 0.500 0.500 0.000 [1 per cell]
Rh 0.000 0.500 0.500 [2 per cell]

Computed properties:
E (eV/atom): -6.38
Size of the total moment (Bohr magnetons per cell): 0.00
Crystal system: tetragonal


3.
Material: Ta2HIrRh
Method: DFT, GGA-PBE
State: optimized geometry

abc: 4.100 4.100 3.927
angles: 90.00 90.00 90.00
Space group P4/mmm (No. 123)
Asymmetric unit:
Ta 0.000 0.500 0.000 [2 per cell]
H 0.000 0.000 0.000 [1 per cell]
Ir 0.500 0.500 0.500 [1 per cell]
Rh 0.000 0.000 0.500 [1 per cell]

Computed properties:
E (eV/atom): -9.08
Size of the total moment (Bohr magnetons per cell): 0.00
Crystal system: tetragonal


4.
Material: Ta2HIrRh
Method: DFT, GGA-PBE
State: optimized geometry

abc: 4.100 4.100 3.940
angles: 90.00 90.00 90.00
Space group P4/mmm (No. 123)
Asymmetric unit:
Ta 0.000 0.500 0.000 [2 per cell]
H 0.000 0.000 0.000 [1 per cell]
Ir 0.000 0.000 0.500 [1 per cell]
Rh 0.500 0.500 0.500 [1 per cell]

Computed properties:
E (eV/atom): -9.04
Size of the total moment (Bohr magnetons per cell): 0.00
Crystal system: tetragonal


Copy entry 2 word for word.
Material: SnHIrRh2
Method: DFT, GGA-PBE
State: optimized geometry

abc: 4.015 4.015 4.015
angles: 90.00 90.00 90.00
Space group P4/mmm (No. 123)
Asymmetric unit:
Sn 0.000 0.000 0.000 [1 per cell]
H 0.500 0.500 0.500 [1 per cell]
Ir 0.500 0.500 0.000 [1 per cell]
Rh 0.000 0.500 0.500 [2 per cell]

Computed properties:
E (eV/atom): -6.38
Size of the total moment (Bohr magnetons per cell): 0.00
Crystal system: tetragonal